(1)
## AcPdPb3 (GGA-PBE)

Data for crystalline AcPdPb3 at its relaxed geometry.

Cell: 5.160 5.159 6.664 Å, 67.14 67.23 90.05°
Element x y z (fractional)
Pd: 0.049 0.851 0.609
Pb: 0.807 0.611 0.090
Pb: 0.637 0.940 0.431
Pb: 0.137 0.440 0.431
Ac: 0.378 0.182 0.950

## Properties
Excess energy over the best structure of this formula in the dataset = 0.00 eV/f.u.
Crystal system = monoclinic
Formation enthalpy at 0 K = -0.377 eV per atom
Calculated volume = 148.31 Å³ per cell



(2)
## PmZn2Cu2 (GGA-PBE)

Data for crystalline PmZn2Cu2 at its relaxed geometry.

Cell: 4.012 4.012 6.220 Å, 108.82 108.82 90.00°
Element x y z (fractional)
Zn: 0.750 0.250 0.500
Zn: 0.250 0.750 0.500
Pm: 0.000 0.000 0.000
Cu: 0.389 0.389 0.779
Cu: 0.611 0.611 0.221

## Properties
Excess energy over the best structure of this formula in the dataset = 0.00 eV/f.u.
Crystal system = tetragonal
Formation enthalpy at 0 K = -0.238 eV per atom
Calculated volume = 89.09 Å³ per cell



(3)
## Ce2SbTe2 (GGA-PBE)

Data for crystalline Ce2SbTe2 at its relaxed geometry.

Cell: 6.185 9.079 8.159 Å, 123.81 112.27 90.00°
Element x y z (fractional)
Ce: 0.115 0.891 0.230
Ce: 0.885 0.109 0.770
Ce: 0.385 0.661 0.770
Ce: 0.615 0.339 0.230
Te: 0.644 0.010 0.287
Te: 0.856 0.723 0.713
Te: 0.356 0.990 0.713
Te: 0.144 0.277 0.287
Sb: 0.750 0.500 0.000
Sb: 0.250 0.500 0.000

## Properties
Crystal system = orthorhombic
Calculated volume = 338.74 Å³ per cell
Uncorrected formation energy = -110.37 kJ per mole of atoms